# 1
The following is a PBE calculation of Nd2Y2Tm7 after structural relaxation, from Alexandria via LeMat-Bulk.

Cell and atoms, written as POSCAR:
```
Nd2Y2Tm7
1.0
5.610 -5.721 0.000
5.610 5.721 0.000
-2.492 0.000 5.525
Nd Y Tm
2 2 7
direct
0.096 0.096 0.309
0.904 0.904 0.691
0.290 0.710 0.000
0.710 0.290 0.000
0.089 0.564 0.321
0.267 0.267 0.926
0.436 0.911 0.679
0.500 0.500 0.500
0.564 0.089 0.321
0.733 0.733 0.074
0.911 0.436 0.679
```

## Properties
**Mass density**: 7.720 Mg/m³
**Calculated volume**: 32.2 Å³ per atom
**Magnetic moment**: 0.00 μB/cell
**ΔE_f**: 0.156 eV/atom



# 2
The following is a PBE calculation of Nd5Y2Tm4 after structural relaxation, from Alexandria via LeMat-Bulk.

Cell and atoms, written as POSCAR:
```
Nd5Y2Tm4
1.0
6.633 0.000 0.000
0.566 6.643 0.000
1.866 3.118 8.294
Nd Y Tm
5 2 4
direct
0.000 0.000 0.000
0.193 0.862 0.360
0.292 0.333 0.605
0.708 0.667 0.395
0.807 0.138 0.640
0.093 0.426 0.201
0.907 0.574 0.799
0.393 0.788 0.702
0.471 0.270 0.954
0.529 0.730 0.046
0.607 0.212 0.298
```

## Properties
**Mass density**: 7.156 Mg/m³
**Calculated volume**: 33.2 Å³ per atom
**Magnetic moment**: 0.00 μB/cell
**ΔE_f**: 0.081 eV/atom
**ΔE to the lowest computed polymorph**: 0.000 eV/atom



# 3
The following is a PBE calculation of NdY2Tm3 after structural relaxation, from Alexandria via LeMat-Bulk.

Cell and atoms, written as POSCAR:
```
NdY2Tm3
1.0
8.692 -3.551 0.000
8.692 3.551 0.000
-0.020 0.000 6.141
Nd Y Tm
2 4 6
direct
0.124 0.876 0.750
0.876 0.124 0.250
0.208 0.458 0.583
0.458 0.208 0.083
0.542 0.792 0.917
0.792 0.542 0.417
0.042 0.293 0.917
0.293 0.042 0.417
0.376 0.624 0.250
0.624 0.376 0.750
0.707 0.958 0.583
0.958 0.707 0.083
```

## Properties
**Mass density**: 7.261 Mg/m³
**Calculated volume**: 31.6 Å³ per atom
**Magnetic moment**: 0.00 μB/cell
**ΔE_f**: 0.026 eV/atom
**ΔE to the lowest computed polymorph**: 0.000 eV/atom



# 4
The following is a PBE calculation of Nd6Y5Tm after structural relaxation, from Alexandria via LeMat-Bulk.

Cell and atoms, written as POSCAR:
```
Nd6Y5Tm
1.0
-2.574 5.067 7.702
2.574 -5.067 7.702
2.574 5.067 -7.702
Nd Y Tm
6 5 1
direct
0.083 0.334 0.749
0.248 0.000 0.248
0.415 0.666 0.749
0.585 0.334 0.251
0.752 0.000 0.752
0.917 0.666 0.251
0.166 0.166 0.000
0.334 0.834 0.500
0.500 0.500 0.000
0.666 0.166 0.500
0.834 0.834 0.000
0.000 0.500 0.500
```

## Properties
**Mass density**: 6.111 Mg/m³
**Calculated volume**: 33.5 Å³ per atom
**Magnetic moment**: 0.00 μB/cell
**ΔE_f**: 0.015 eV/atom
**ΔE to the lowest computed polymorph**: 0.006 eV/atom



# 5
The following is a PBE calculation of Nd5Y3Tm after structural relaxation, from Alexandria via LeMat-Bulk.

Cell and atoms, written as POSCAR:
```
Nd5Y3Tm
1.0
10.084 -3.153 0.000
10.084 3.153 0.000
-6.393 0.000 9.924
Nd Y Tm
10 6 2
direct
0.033 0.692 0.340
0.090 0.910 0.750
0.141 0.500 0.668
0.308 0.967 0.160
0.500 0.141 0.168
0.500 0.859 0.832
0.692 0.033 0.840
0.859 0.500 0.332
0.910 0.090 0.250
0.967 0.308 0.660
0.102 0.547 0.973
0.453 0.898 0.527
0.500 0.500 0.000
0.500 0.500 0.500
0.547 0.102 0.473
0.898 0.453 0.027
0.401 0.599 0.250
0.599 0.401 0.750
```

## Properties
**Mass density**: 6.087 Mg/m³
**Calculated volume**: 35.1 Å³ per atom
**Magnetic moment**: 0.00 μB/cell
**ΔE_f**: 0.269 eV/atom
**ΔE to the lowest computed polymorph**: 0.000 eV/atom



# 6
The following is a PBE calculation of NdYTm after structural relaxation, from Alexandria via LeMat-Bulk.

Cell and atoms, written as POSCAR:
```
NdYTm
1.0
3.581 0.000 0.000
-0.001 6.193 0.000
-1.787 -3.093 8.782
Nd Y Tm
2 2 2
direct
0.085 0.418 0.170
0.915 0.582 0.830
0.414 0.081 0.828
0.586 0.919 0.172
0.250 0.250 0.500
0.750 0.750 0.500
```

## Properties
**Mass density**: 6.857 Mg/m³
**Calculated volume**: 32.5 Å³ per atom
**Magnetic moment**: 0.00 μB/cell
**ΔE_f**: 0.023 eV/atom
**ΔE to the lowest computed polymorph**: 0.026 eV/atom



# 7
The following is a PBE calculation of Nd3YTm3 after structural relaxation, from Alexandria via LeMat-Bulk.

Cell and atoms, written as POSCAR:
```
Nd3YTm3
1.0
9.619 0.000 0.000
-4.810 8.331 0.000
0.000 0.000 5.746
Nd Y Tm
6 2 6
direct
0.047 0.243 0.250
0.196 0.953 0.250
0.243 0.196 0.750
0.757 0.804 0.250
0.804 0.047 0.750
0.953 0.757 0.750
0.333 0.667 0.250
0.667 0.333 0.750
0.095 0.478 0.750
0.384 0.905 0.750
0.478 0.384 0.250
0.522 0.616 0.750
0.616 0.095 0.250
0.905 0.522 0.250
```

## Properties
**Mass density**: 7.417 Mg/m³
**Calculated volume**: 32.9 Å³ per atom
**Magnetic moment**: 0.00 μB/cell
**ΔE_f**: 0.019 eV/atom
**ΔE to the lowest computed polymorph**: 0.000 eV/atom



# 8
The following is a PBE calculation of Nd4Y3Tm2 after structural relaxation, from Alexandria via LeMat-Bulk.

Cell and atoms, written as POSCAR:
```
Nd4Y3Tm2
1.0
4.921 -8.498 0.000
4.921 8.498 0.000
0.000 0.000 7.110
Nd Y Tm
8 6 4
direct
0.021 0.677 0.000
0.321 0.349 0.000
0.323 0.979 0.500
0.349 0.321 0.500
0.651 0.679 0.500
0.677 0.021 0.500
0.679 0.651 0.000
0.979 0.323 0.000
0.000 0.000 0.250
0.000 0.000 0.750
0.329 0.671 0.250
0.329 0.671 0.750
0.671 0.329 0.250
0.671 0.329 0.750
0.023 0.346 0.500
0.346 0.023 0.000
0.654 0.977 0.000
0.977 0.654 0.500
```

## Properties
**Mass density**: 6.599 Mg/m³
**Calculated volume**: 33.0 Å³ per atom
**Magnetic moment**: 0.00 μB/cell
**ΔE_f**: 0.045 eV/atom
**ΔE to the lowest computed polymorph**: 0.000 eV/atom



Which value of calculated volume does entry 8 give?
33.0 Å³ per atom



What is the formula in the fourth record?
Nd6Y5Tm



Which formula does entry 7 have?
Nd3YTm3